No. 1
{
  "formula": "LaTh2OsN4",
  "functional": "PBE",
  "state": "optimized geometry",
  "magnetic_moment_mub_per_fu": 0.000,
  "formation_energy_uncorrected_ev_per_atom": -1.027,
  "lattice": [[1.748, -6.152, 0.000], [1.748, 6.152, 0.000], [0.000, 0.000, 12.052]],
  "species": ["La", "La", "Th", "Th", "Th", "Th", "Os", "Os", "N", "N", "N", "N", "N", "N", "N", "N"],
  "frac_coords": [[0.107, 0.893, 0.750], [0.893, 0.107, 0.250], [0.368, 0.632, 0.552], [0.368, 0.632, 0.948], [0.632, 0.368, 0.052], [0.632, 0.368, 0.448], [0.153, 0.847, 0.250], [0.847, 0.153, 0.750], [0.000, 0.000, 0.000], [0.000, 0.000, 0.500], [0.273, 0.727, 0.125], [0.273, 0.727, 0.375], [0.450, 0.550, 0.750], [0.550, 0.450, 0.250], [0.727, 0.273, 0.625], [0.727, 0.273, 0.875]]
}

No. 2
{
  "formula": "Ac2Al3InGa4",
  "functional": "PBE",
  "state": "optimized geometry",
  "formation_enthalpy_0k_kj_per_mol_fu": -381,
  "magnetic_moment_mub_per_fu": 0.000,
  "lattice": [[4.558, 0.000, 0.000], [0.000, 4.558, 0.000], [0.000, 0.000, 11.016]],
  "species": ["Ac", "Ac", "Al", "Al", "Al", "In", "Ga", "Ga", "Ga", "Ga"],
  "frac_coords": [[0.000, 0.500, 0.239], [0.500, 0.000, 0.761], [0.000, 0.500, 0.879], [0.500, 0.000, 0.121], [0.500, 0.500, 0.500], [0.000, 0.000, 0.500], [0.000, 0.000, 0.000], [0.000, 0.500, 0.644], [0.500, 0.000, 0.356], [0.500, 0.500, 0.000]]
}

No. 3
{
  "formula": "LaMg2Sc",
  "functional": "PBE",
  "state": "optimized geometry",
  "formation_enthalpy_0k_kj_per_mol_fu": 21,
  "magnetic_moment_mub_per_fu": 0.000,
  "lattice": [[3.333, 0.000, 0.000], [-1.666, 2.886, 0.000], [0.000, 0.000, 33.777]],
  "species": ["La", "La", "La", "Mg", "Mg", "Mg", "Mg", "Mg", "Mg", "Sc", "Sc", "Sc"],
  "frac_coords": [[0.000, 0.000, 0.000], [0.333, 0.667, 0.667], [0.667, 0.333, 0.333], [0.000, 0.000, 0.579], [0.000, 0.000, 0.757], [0.333, 0.667, 0.245], [0.333, 0.667, 0.424], [0.667, 0.333, 0.090], [0.667, 0.333, 0.912], [0.000, 0.000, 0.169], [0.333, 0.667, 0.835], [0.667, 0.333, 0.502]]
}

No. 4
{
  "formula": "ScCu2H2",
  "functional": "PBE",
  "state": "optimized geometry",
  "magnetic_moment_mub_per_fu": 0.000,
  "relative_energy_mev_per_atom": 0,
  "lattice": [[5.413, 0.000, 0.000], [0.000, 5.413, 0.000], [0.000, 0.000, 3.700]],
  "species": ["Sc", "Sc", "Cu", "Cu", "Cu", "Cu", "H", "H", "H", "H"],
  "frac_coords": [[0.000, 0.000, 0.000], [0.500, 0.500, 0.000], [0.161, 0.339, 0.500], [0.339, 0.839, 0.500], [0.661, 0.161, 0.500], [0.839, 0.661, 0.500], [0.156, 0.344, 0.000], [0.344, 0.844, 0.000], [0.656, 0.156, 0.000], [0.844, 0.656, 0.000]]
}

No. 5
{
  "formula": "Y8Ho3Th2",
  "functional": "PBE",
  "state": "optimized geometry",
  "formation_enthalpy_0k_kj_per_mol_fu": 349,
  "magnetic_moment_mub_per_fu": 0.000,
  "relative_energy_mev_per_atom": 126,
  "lattice": [[3.684, -10.364, 0.000], [3.684, 10.364, 0.000], [0.000, 0.000, 5.714]],
  "species": ["Y", "Y", "Y", "Y", "Y", "Y", "Y", "Y", "Ho", "Ho", "Ho", "Th", "Th"],
  "frac_coords": [[0.141, 0.859, 0.000], [0.172, 0.390, 0.500], [0.331, 0.669, 0.000], [0.390, 0.172, 0.500], [0.610, 0.828, 0.500], [0.669, 0.331, 0.000], [0.828, 0.610, 0.500], [0.859, 0.141, 0.000], [0.000, 0.000, 0.500], [0.271, 0.271, 0.000], [0.729, 0.729, 0.000], [0.245, 0.755, 0.500], [0.755, 0.245, 0.500]]
}

No. 6
{
  "formula": "AcTh2Se6",
  "functional": "PBE",
  "state": "optimized geometry",
  "magnetic_moment_mub_per_fu": 0.981,
  "formation_energy_uncorrected_ev_per_atom": -1.589,
  "lattice": [[7.201, -2.859, 0.000], [7.201, 2.859, 0.000], [-5.993, 0.000, 7.783]],
  "species": ["Ac", "Th", "Th", "Se", "Se", "Se", "Se", "Se", "Se"],
  "frac_coords": [[0.000, 0.000, 0.000], [0.182, 0.182, 0.601], [0.818, 0.818, 0.399], [0.047, 0.047, 0.725], [0.261, 0.261, 0.380], [0.384, 0.384, 0.958], [0.616, 0.616, 0.042], [0.739, 0.739, 0.620], [0.953, 0.953, 0.275]]
}

No. 7
{
  "formula": "RbNaS",
  "functional": "PBE",
  "state": "optimized geometry",
  "magnetic_moment_mub_per_fu": 0.000,
  "formation_energy_uncorrected_ev_per_atom": -0.790,
  "lattice": [[4.012, 0.000, 0.000], [0.000, 4.012, 0.000], [0.000, 0.000, 10.966]],
  "species": ["Rb", "Rb", "Na", "Na", "S", "S"],
  "frac_coords": [[0.000, 0.000, 0.000], [0.500, 0.500, 0.500], [0.000, 0.000, 0.741], [0.500, 0.500, 0.241], [0.000, 0.000, 0.304], [0.500, 0.500, 0.804]]
}

No. 8
{
  "formula": "Ca2MgSe",
  "functional": "PBE",
  "state": "optimized geometry",
  "magnetic_moment_mub_per_fu": 0.000,
  "formation_energy_uncorrected_ev_per_atom": -0.659,
  "relative_energy_mev_per_atom": 228,
  "lattice": [[5.336, 0.000, 0.000], [0.000, 5.336, 0.000], [0.000, 0.000, 3.867]],
  "species": ["Ca", "Ca", "Mg", "Se"],
  "frac_coords": [[0.000, 0.500, 0.000], [0.500, 0.000, 0.000], [0.000, 0.000, 0.500], [0.500, 0.500, 0.500]]
}

No. 9
{
  "formula": "BaAg2PbBr8",
  "functional": "PBE",
  "state": "optimized geometry",
  "magnetic_moment_mub_per_fu": 0.002,
  "formation_energy_uncorrected_ev_per_atom": -0.795,
  "lattice": [[-3.706, 3.706, 7.477], [3.706, -3.706, 7.477], [3.706, 3.706, -7.477]],
  "species": ["Ba", "Ag", "Ag", "Pb", "Br", "Br", "Br", "Br", "Br", "Br", "Br", "Br"],
  "frac_coords": [[0.000, 0.000, 0.000], [0.250, 0.750, 0.500], [0.500, 0.500, 0.000], [0.750, 0.250, 0.500], [0.017, 0.970, 0.616], [0.030, 0.646, 0.047], [0.141, 0.281, 0.566], [0.354, 0.401, 0.384], [0.424, 0.859, 0.140], [0.599, 0.983, 0.953], [0.715, 0.576, 0.434], [0.719, 0.285, 0.860]]
}

No. 10
{
  "formula": "Co6Ni12Ir",
  "functional": "PBE",
  "state": "optimized geometry",
  "formation_enthalpy_0k_kj_per_mol_fu": 258,
  "magnetic_moment_mub_per_fu": 19.115,
  "lattice": [[4.275, 2.468, 3.502], [-4.275, 2.468, 3.502], [0.000, -4.936, 3.502]],
  "species": ["Co", "Co", "Co", "Co", "Co", "Co", "Ni", "Ni", "Ni", "Ni", "Ni", "Ni", "Ni", "Ni", "Ni", "Ni", "Ni", "Ni", "Ir"],
  "frac_coords": [[0.217, 0.766, 0.616], [0.234, 0.384, 0.783], [0.384, 0.783, 0.234], [0.616, 0.217, 0.766], [0.766, 0.616, 0.217], [0.783, 0.234, 0.384], [0.019, 0.929, 0.303], [0.071, 0.697, 0.981], [0.122, 0.462, 0.340], [0.303, 0.019, 0.929], [0.340, 0.122, 0.462], [0.462, 0.340, 0.122], [0.538, 0.660, 0.878], [0.660, 0.878, 0.538], [0.697, 0.981, 0.071], [0.878, 0.538, 0.660], [0.929, 0.303, 0.019], [0.981, 0.071, 0.697], [0.500, 0.500, 0.500]]
}

No. 11
{
  "formula": "AlSiHg2Au",
  "functional": "PBE",
  "state": "optimized geometry",
  "magnetic_moment_mub_per_fu": 0.000,
  "formation_energy_uncorrected_ev_per_atom": 0.399,
  "lattice": [[5.129, 0.000, 0.000], [0.000, 5.129, 0.000], [0.000, 0.000, 4.838]],
  "species": ["Al", "Si", "Hg", "Hg", "Au"],
  "frac_coords": [[0.000, 0.000, 0.000], [0.500, 0.500, 0.500], [0.000, 0.500, 0.500], [0.500, 0.000, 0.500], [0.500, 0.500, 0.000]]
}

No. 12
{
  "formula": "K2CeP2O7",
  "functional": "PBE",
  "state": "optimized geometry",
  "magnetic_moment_mub_per_fu": 1.391,
  "formation_energy_uncorrected_ev_per_atom": -2.326,
  "lattice": [[3.069, 1.772, 6.642], [-3.069, 1.772, 6.642], [0.000, -3.544, 6.642]],
  "species": ["K", "K", "Ce", "P", "P", "O", "O", "O", "O", "O", "O", "O"],
  "frac_coords": [[0.239, 0.239, 0.239], [0.761, 0.761, 0.761], [0.000, 0.000, 0.000], [0.419, 0.419, 0.419], [0.581, 0.581, 0.581], [0.259, 0.259, 0.677], [0.259, 0.677, 0.259], [0.323, 0.741, 0.741], [0.500, 0.500, 0.500], [0.677, 0.259, 0.259], [0.741, 0.323, 0.741], [0.741, 0.741, 0.323]]
}

No. 13
{
  "formula": "RbNaCe2Se4",
  "functional": "PBE",
  "state": "optimized geometry",
  "magnetic_moment_mub_per_fu": 2.006,
  "formation_energy_uncorrected_ev_per_atom": -1.606,
  "lattice": [[-4.383, 4.492, 6.296], [4.383, -4.492, 6.296], [4.383, 4.492, -6.296]],
  "species": ["Rb", "Rb", "Na", "Na", "Ce", "Ce", "Ce", "Ce", "Se", "Se", "Se", "Se", "Se", "Se", "Se", "Se"],
  "frac_coords": [[0.500, 0.000, 0.000], [0.500, 0.500, 0.500], [0.000, 0.000, 0.000], [0.500, 0.000, 0.500], [0.000, 0.000, 0.500], [0.000, 0.500, 0.000], [0.000, 0.500, 0.500], [0.500, 0.500, 0.000], [0.211, 0.739, 0.471], [0.232, 0.261, 0.971], [0.236, 0.253, 0.516], [0.236, 0.720, 0.984], [0.764, 0.280, 0.016], [0.764, 0.747, 0.484], [0.768, 0.739, 0.029], [0.789, 0.261, 0.529]]
}

No. 14
{
  "formula": "GeP2PtO",
  "functional": "PBE",
  "state": "optimized geometry",
  "magnetic_moment_mub_per_fu": 0.000,
  "formation_energy_uncorrected_ev_per_atom": 0.371,
  "relative_energy_mev_per_atom": 0,
  "lattice": [[4.780, 0.000, 0.000], [0.000, 4.780, 0.000], [0.000, 0.000, 3.472]],
  "species": ["Ge", "P", "P", "Pt", "O"],
  "frac_coords": [[0.000, 0.000, 0.000], [0.000, 0.500, 0.000], [0.500, 0.000, 0.000], [0.500, 0.500, 0.500], [0.000, 0.000, 0.500]]
}

No. 15
{
  "formula": "La5Pr12Mg2",
  "functional": "PBE",
  "state": "optimized geometry",
  "formation_enthalpy_0k_kj_per_mol_fu": 116,
  "magnetic_moment_mub_per_fu": 0.000,
  "lattice": [[8.071, -4.701, 0.000], [8.071, 4.701, 0.000], [-0.555, 0.000, 8.850]],
  "species": ["La", "La", "La", "La", "La", "Pr", "Pr", "Pr", "Pr", "Pr", "Pr", "Pr", "Pr", "Pr", "Pr", "Pr", "Pr", "Mg", "Mg"],
  "frac_coords": [[0.000, 0.000, 0.000], [0.231, 0.231, 0.068], [0.293, 0.293, 0.470], [0.707, 0.707, 0.530], [0.769, 0.769, 0.932], [0.042, 0.673, 0.262], [0.073, 0.073, 0.383], [0.176, 0.565, 0.812], [0.327, 0.958, 0.738], [0.435, 0.824, 0.188], [0.443, 0.443, 0.159], [0.557, 0.557, 0.841], [0.565, 0.176, 0.812], [0.673, 0.042, 0.262], [0.824, 0.435, 0.188], [0.927, 0.927, 0.617], [0.958, 0.327, 0.738], [0.338, 0.662, 0.500], [0.662, 0.338, 0.500]]
}

No. 16
{
  "formula": "Fe2OsAu",
  "functional": "PBE",
  "state": "optimized geometry",
  "formation_enthalpy_0k_kj_per_mol_fu": 78,
  "magnetic_moment_mub_per_fu": 4.363,
  "relative_energy_mev_per_atom": 0,
  "lattice": [[2.706, 0.000, 0.000], [0.000, 2.706, 0.000], [0.000, 0.000, 7.633]],
  "species": ["Fe", "Fe", "Os", "Au"],
  "frac_coords": [[0.000, 0.000, 0.231], [0.000, 0.000, 0.769], [0.500, 0.500, 0.000], [0.500, 0.500, 0.500]]
}

No. 17
{
  "formula": "Dy4InHg2Pt",
  "functional": "PBE",
  "state": "optimized geometry",
  "formation_enthalpy_0k_kj_per_mol_fu": -519,
  "magnetic_moment_mub_per_fu": 0.000,
  "lattice": [[2.601, 1.502, 8.433], [-2.601, 1.502, 8.433], [0.000, -3.004, 8.433]],
  "species": ["Dy", "Dy", "Dy", "Dy", "In", "Hg", "Hg", "Pt"],
  "frac_coords": [[0.115, 0.115, 0.115], [0.368, 0.368, 0.368], [0.632, 0.632, 0.632], [0.885, 0.885, 0.885], [0.500, 0.500, 0.500], [0.241, 0.241, 0.241], [0.759, 0.759, 0.759], [0.000, 0.000, 0.000]]
}

No. 18
{
  "formula": "FeSb4Pt",
  "functional": "PBE",
  "state": "optimized geometry",
  "magnetic_moment_mub_per_fu": 1.621,
  "formation_energy_uncorrected_ev_per_atom": -0.177,
  "relative_energy_mev_per_atom": 0,
  "lattice": [[6.451, 0.000, 0.000], [0.000, 6.442, 0.000], [-0.041, 0.000, 6.453]],
  "species": ["Fe", "Fe", "Sb", "Sb", "Sb", "Sb", "Sb", "Sb", "Sb", "Sb", "Pt", "Pt"],
  "frac_coords": [[0.000, 0.000, 0.000], [0.000, 0.500, 0.500], [0.117, 0.136, 0.638], [0.117, 0.364, 0.138], [0.361, 0.622, 0.622], [0.361, 0.878, 0.122], [0.639, 0.122, 0.878], [0.639, 0.378, 0.378], [0.883, 0.636, 0.862], [0.883, 0.864, 0.362], [0.500, 0.000, 0.500], [0.500, 0.500, 0.000]]
}

No. 19
{
  "formula": "Y2FeMo",
  "functional": "PBE",
  "state": "optimized geometry",
  "formation_enthalpy_0k_kj_per_mol_fu": 74,
  "magnetic_moment_mub_per_fu": 0.985,
  "relative_energy_mev_per_atom": 35,
  "lattice": [[3.180, 0.000, 0.000], [0.000, 3.180, 0.000], [0.000, 0.000, 8.537]],
  "species": ["Y", "Y", "Fe", "Mo"],
  "frac_coords": [[0.000, 0.000, 0.000], [0.500, 0.500, 0.374], [0.000, 0.000, 0.608], [0.500, 0.500, 0.748]]
}

No. 20
{
  "formula": "TaFeHg",
  "functional": "PBE",
  "state": "optimized geometry",
  "formation_enthalpy_0k_kj_per_mol_fu": 290,
  "magnetic_moment_mub_per_fu": 1.059,
  "relative_energy_mev_per_atom": 735,
  "lattice": [[6.236, 0.000, 0.000], [0.000, 6.236, 0.000], [0.000, 0.000, 6.236]],
  "species": ["Ta", "Ta", "Ta", "Ta", "Fe", "Fe", "Fe", "Fe", "Hg", "Hg", "Hg", "Hg"],
  "frac_coords": [[0.000, 0.000, 0.000], [0.000, 0.500, 0.500], [0.500, 0.000, 0.500], [0.500, 0.500, 0.000], [0.250, 0.250, 0.250], [0.250, 0.750, 0.750], [0.750, 0.250, 0.750], [0.750, 0.750, 0.250], [0.250, 0.250, 0.750], [0.250, 0.750, 0.250], [0.750, 0.250, 0.250], [0.750, 0.750, 0.750]]
}

Number 1: V 16.20 Å³/atom. Number 2: V 22.88 Å³/atom. Number 3: V 27.07 Å³/atom. Number 4: V 10.84 Å³/atom. Number 5: V 33.56 Å³/atom. Number 6: V 35.61 Å³/atom. Number 7: V 29.42 Å³/atom. Number 8: V 27.52 Å³/atom. Number 9: V 34.23 Å³/atom. Number 10: V 11.66 Å³/atom. Number 11: V 25.45 Å³/atom. Number 12: V 18.06 Å³/atom. Number 13: V 30.99 Å³/atom. Number 14: V 15.86 Å³/atom. Number 15: V 35.35 Å³/atom. Number 16: V 13.97 Å³/atom. Number 17: V 24.71 Å³/atom. Number 18: V 22.35 Å³/atom. Number 19: V 21.58 Å³/atom. Number 20: V 20.21 Å³/atom.